1.
The following is a DFT calculation (GGA-PBE) of a relaxed structure of NdAgHg.

Unit cell a=4.902 b=4.902 c=4.902 alpha=60.00 beta=60.00 gamma=60.00
Positions (direct):
Nd1 0.000 0.000 0.000
Hg1 0.500 0.500 0.500
Ag1 0.250 0.250 0.250

Output
Symmetry = No. 216
Energy of formation = -19 kJ/mol of atoms

---

2.
The following is a DFT calculation (GGA-PBE) of a relaxed structure of Os3PtO.

Unit cell a=4.843 b=4.843 c=4.843 alpha=90.00 beta=90.00 gamma=90.00
Each line ends with the local moment (μB).
Positions (direct):
Os1 0.000 0.500 0.000  2.04
Os2 0.000 0.000 0.500  2.44
Os3 0.500 0.000 0.000  1.66
O1 0.500 0.500 0.500  1.10
Pt1 0.000 0.000 0.000  0.37

Output
Symmetry = No. 221
Offset from the most stable computed form = 2.280 eV per atom

---

3.
The following is a DFT calculation (GGA-PBE) of a relaxed structure of ScCrPS2.

Unit cell a=4.859 b=4.859 c=4.973 alpha=90.00 beta=90.00 gamma=90.00
Each line ends with the local moment (μB).
Positions (direct):
Sc1 0.000 0.000 0.000  0.01
Cr1 0.500 0.500 0.500  4.07
S1 0.000 0.500 0.000  -0.18
S2 0.500 0.000 0.000  -0.18
P1 0.000 0.000 0.500  -0.29

Output
Symmetry = No. 123
Offset from the most stable computed form = 0.398 eV per atom

---

4.
The following is a DFT calculation (GGA-PBE) of a relaxed structure of Sm12Pd6Pb.

Unit cell a=8.848 b=8.848 c=8.848 alpha=109.47 beta=109.47 gamma=109.47
Positions (direct):
Sm1 0.300 0.115 0.815
Sm2 0.300 0.485 0.185
Sm3 0.700 0.515 0.815
Sm4 0.700 0.885 0.185
Sm5 0.115 0.815 0.300
Sm6 0.485 0.185 0.300
Sm7 0.515 0.815 0.700
Sm8 0.885 0.185 0.700
Sm9 0.815 0.300 0.115
Sm10 0.185 0.300 0.485
Sm11 0.815 0.700 0.515
Sm12 0.185 0.700 0.885
Pd1 0.366 0.500 0.866
Pd2 0.634 0.500 0.134
Pd3 0.500 0.866 0.366
Pd4 0.500 0.134 0.634
Pd5 0.866 0.366 0.500
Pd6 0.134 0.634 0.500
Pb1 0.000 0.000 0.000

Output
Symmetry = No. 204
Energy of formation = -56 kJ/mol of atoms

---

5.
The following is a DFT calculation (GGA-PBE) of a relaxed structure of KBeZn2.

Unit cell a=6.574 b=6.574 c=6.574 alpha=37.37 beta=37.37 gamma=37.37
Positions (direct):
Be1 0.250 0.250 0.250
Zn1 0.927 0.927 0.927
Zn2 0.573 0.573 0.573
K1 0.750 0.750 0.750

Output
Symmetry = No. 166
Energy of formation = 11 kJ/mol of atoms

---

6.
The following is a DFT calculation (GGA-PBE) of a relaxed structure of Cs2PaAgS4.

Unit cell a=7.268 b=7.268 c=7.268 alpha=98.89 beta=115.01 gamma=115.01
Positions (direct):
Cs1 0.500 0.750 0.250
Cs2 0.000 0.000 0.000
Pa1 0.500 0.250 0.750
Ag1 0.000 0.500 0.500
S1 0.587 0.348 0.465
S2 0.117 0.238 0.652
S3 0.883 0.535 0.122
S4 0.413 0.878 0.762

Output
Symmetry = No. 82

---

7.
The following is a DFT calculation (GGA-PBE) of a relaxed structure of LaY2ZnO.

Unit cell a=4.775 b=4.775 c=4.988 alpha=90.00 beta=90.00 gamma=90.00
Positions (direct):
Y1 0.000 0.500 0.000
Y2 0.500 0.000 0.000
Zn1 0.500 0.500 0.500
O1 0.000 0.000 0.000
La1 0.000 0.000 0.500

Output
Symmetry = No. 123

---

8.
The following is a DFT calculation (GGA-PBE) of a relaxed structure of ReTe2.

Unit cell a=8.725 b=8.725 c=5.192 alpha=90.00 beta=90.00 gamma=157.77
Positions (direct):
Re1 0.781 0.219 0.750
Re2 0.219 0.781 0.250
Te1 0.156 0.844 0.750
Te2 0.410 0.590 0.750
Te3 0.590 0.410 0.250
Te4 0.844 0.156 0.250

Output
Symmetry = No. 63

---

The calculation returns the following total magnetic moment values, one per record and in order: 0.00, 8.21, 3.35, 0.00, 0.00, 0.00, 0.00, 0.00 μB per cell.
The calculation returns the following E values, one per record and in order: -2.84, -5.80, -5.82, -5.39, -1.73, -4.89, -6.05, -5.86 eV/atom.